[1]
{
  "formula": "BaNaAlC2",
  "functional": "PBE",
  "state": "relaxed",
  "lattice": [[-0.572, -3.476, -3.131], [4.157, 1.234, -2.129], [2.332, -2.947, 2.845]],
  "species": ["Ba", "C", "C", "Al", "Na"],
  "fractional_positions": [[0.500, 0.500, 0.500], [0.500, 0.000, 0.000], [0.000, 0.000, 0.500], [0.000, 0.500, 0.000], [0.000, 0.000, 0.000]],
  "formation_energy_ev_per_fu": 10.303,
  "e_above_lowest_polymorph_mev_per_atom": 0.0
}

[2]
{
  "formula": "BaNaAlC2",
  "functional": "PBE",
  "state": "relaxed",
  "lattice": [[5.037, 0.000, 0.000], [0.000, 5.037, 0.000], [0.000, 0.000, 6.038]],
  "species": ["Na", "Al", "Ba", "C", "C"],
  "fractional_positions": [[0.500, 0.500, 0.500], [0.000, 0.000, 0.500], [0.000, 0.000, 0.000], [0.000, 0.500, 0.000], [0.500, 0.000, 0.000]],
  "formation_energy_ev_per_fu": 12.124,
  "e_above_lowest_polymorph_mev_per_atom": 364.1
}

[3]
{
  "formula": "Ba2ScAlC",
  "functional": "PBE",
  "state": "relaxed",
  "lattice": [[-0.296, -4.072, -5.042], [4.702, 1.436, -1.436], [2.555, -4.712, 3.656]],
  "species": ["Al", "C", "Ba", "Sc", "Ba"],
  "fractional_positions": [[0.000, 0.500, 0.000], [0.500, 0.500, 0.500], [0.000, 0.000, 0.500], [0.000, 0.000, 0.000], [0.500, 0.000, 0.000]],
  "formation_energy_ev_per_fu": 8.316
}

[4]
{
  "formula": "Ba2AlTlC",
  "functional": "PBE",
  "state": "relaxed",
  "lattice": [[5.892, 0.000, 0.000], [0.000, 4.588, 0.000], [0.000, 0.000, 5.892]],
  "species": ["Ba", "Ba", "Tl", "Al", "C"],
  "fractional_positions": [[0.500, 0.000, 0.000], [0.000, 0.000, 0.500], [0.000, 0.500, 0.000], [0.500, 0.500, 0.500], [0.000, 0.000, 0.000]],
  "formation_energy_ev_per_fu": 2.434
}

[5]
{
  "formula": "BaCa2Al2",
  "functional": "PBE",
  "state": "relaxed",
  "lattice": [[-2.086, -3.288, 3.368], [1.367, -3.949, -3.008], [5.436, -4.035, 3.362]],
  "species": ["Ca", "Ca", "Al", "Ba", "Al"],
  "fractional_positions": [[0.250, 0.750, 0.500], [0.750, 0.250, 0.500], [0.402, 0.402, 0.195], [0.000, 0.000, 0.000], [0.598, 0.598, 0.805]],
  "formation_energy_ev_per_fu": -0.450,
  "e_above_lowest_polymorph_mev_per_atom": 36.3
}

[6]
{
  "formula": "BaCaAl4",
  "functional": "PBE",
  "state": "relaxed",
  "lattice": [[-1.028, 1.125, 5.682], [-4.361, -1.910, -3.457], [2.218, -9.017, 2.186]],
  "species": ["Al", "Ba", "Al", "Al", "Ca", "Al", "Ca", "Al", "Ba", "Al", "Al", "Al"],
  "fractional_positions": [[0.661, 0.830, 0.735], [0.667, 0.333, 0.935], [0.830, 0.170, 0.265], [0.170, 0.830, 0.735], [0.333, 0.667, 0.434], [0.000, 0.000, 0.000], [0.667, 0.333, 0.566], [0.339, 0.170, 0.265], [0.333, 0.667, 0.065], [0.000, 0.000, 0.500], [0.830, 0.661, 0.265], [0.170, 0.339, 0.735]],
  "formation_energy_ev_per_fu": -1.379,
  "e_above_lowest_polymorph_mev_per_atom": 0.0
}